Entry 1:
Entry from Alexandria via LeMat-Bulk: an optimized crystal structure of KSiPb2 (PBE-GGA).

Lattice parameters (Å, degrees): 5.5191 3.4699 6.9877 80.96 90.00 90.00
Closest atoms and distances in Å follow each position.
Fractional coordinates of all 4 atoms:
Pb  0.0000  0.9730  0.0932  2 Si 2.89-2.91
Pb  0.5000  0.4093  0.2549  2 Si 3.01
Si  0.0000  0.3604  0.4302  4 Pb 2.89-3.01
K  0.5000  0.7573  0.7217  2 K 3.47, 3 Pb 3.65-3.73, 4 Si 3.81-3.85

Properties
DOS(E_F)   0.24 states/eV/atom
Formation energy (no corrections)   161 meV/atom
Final energy   -3.32 eV per atom
Crystal system   monoclinic
Magnetic moment   0.000 Bohr magnetons per cell

Entry 2:
Entry from Alexandria via LeMat-Bulk: an optimized crystal structure of BaHg2SCl (PBE-GGA).

Lattice parameters (Å, degrees): 6.9374 5.6868 6.9374 90.00 90.00 90.00
Closest atoms and distances in Å follow each position.
Fractional coordinates of all 5 atoms:
S  0.5000  0.5000  0.5000  8 Hg 4.49, 4 Cl 4.91
Cl  0.0000  0.5000  0.0000  2 Ba 2.84
Ba  0.0000  0.0000  0.0000  2 Cl 2.84
Hg  0.0000  0.0000  0.5000  2 Ba 3.47
Hg  0.5000  0.0000  0.0000  2 Ba 3.47

Properties
DOS(E_F)   0.68 states/eV/atom
Formation energy (no corrections)   -236 meV/atom
Final energy   -1.94 eV per atom
Crystal system   tetragonal
Magnetic moment   1.008 Bohr magnetons per cell

Entry 3:
Entry from Alexandria via LeMat-Bulk: an optimized crystal structure of Mg6ZnCd5 (PBE-GGA).

Lattice parameters (Å, degrees): 5.1741 6.4450 7.6986 90.00 99.13 90.00
Closest atoms and distances in Å follow each position.
Fractional coordinates of all 12 atoms:
Cd  0.3372  0.0000  0.6634  8 Mg 3.02-3.07, 3 Cd 3.22-3.24, 1 Zn 3.35
Cd  0.6622  0.5000  0.3379  8 Mg 3.05-3.09, 4 Cd 3.22-3.36
Cd  0.6628  0.0000  0.3366  8 Mg 3.02-3.07, 3 Cd 3.22-3.24, 1 Zn 3.35
Cd  0.3378  0.5000  0.6621  8 Mg 3.05-3.09, 4 Cd 3.22-3.36
Cd  0.0000  0.5000  0.0000  8 Mg 2.98-3.07, 2 Zn 3.22
Mg  0.1562  0.2463  0.3241  1 Zn 2.96, 7 Cd 2.98-3.09, 3 Mg 3.18-3.29
Mg  0.5000  0.2437  0.0000  2 Zn 3.03, 6 Cd 3.03-3.08, 4 Mg 3.14-3.30
Mg  0.5000  0.7563  0.0000  2 Zn 3.03, 6 Cd 3.03-3.08, 4 Mg 3.14-3.30
Mg  0.8438  0.2464  0.6759  1 Zn 2.96, 7 Cd 2.99-3.09, 3 Mg 3.18-3.29
Mg  0.8438  0.7537  0.6759  1 Zn 2.96, 7 Cd 2.98-3.09, 3 Mg 3.18-3.29
Mg  0.1562  0.7536  0.3241  1 Zn 2.96, 7 Cd 2.99-3.09, 3 Mg 3.18-3.29
Zn  0.0000  0.0000  0.0000  8 Mg 2.96-3.03, 2 Cd 3.22

Properties
Formation enthalpy at 0 K   -0.09 eV/atom
DOS(E_F)   0.36 states/eV/atom
Final energy   -1.37 eV per atom
Crystal system   monoclinic
Magnetic moment   0.000 Bohr magnetons per cell